Crystalline Er3Cd2In4 at its relaxed geometry. Source: Alexandria, functional PBE.

For the energy of formation, the calculation gives -366 meV/atom.

The structure belongs to space group C2/m (No. 12); the cell edges are 11.066, 4.944 and 9.276 Å and the angles 90.00°, 118.73° and 90.00°. The asymmetric unit holds Er at (0.000, 0.000, 0.000), Er at (0.166, 0.500, 0.666), Cd at (0.113, 0.500, 0.281), In at (0.053, 0.000, 0.384) and In at (0.223, 0.500, 0.061).

---

Crystalline YZr2BeRh at its relaxed geometry. Source: Alexandria, functional PBE.

For the energy of formation, the calculation gives 493 meV/atom.

The structure belongs to space group P4/mmm (No. 123); the cell edges are 4.991, 4.991 and 5.315 Å and the angles 90.00°, 90.00° and 90.00°. The asymmetric unit holds Y at (0.000, 0.000, 0.000), Zr at (0.000, 0.500, 0.500), Be at (0.500, 0.500, 0.000) and Rh at (0.000, 0.000, 0.500).

---

Crystalline Cu2AsS3 at its relaxed geometry. Source: Alexandria, functional PBE.

As for the formation energy from raw total energies: -154 meV/atom. As for the energy above the most stable polymorph in this dataset: 19 meV/atom.

The structure belongs to space group Cc (No. 9); the cell edges are 6.407, 10.807 and 7.138 Å and the angles 90.00°, 111.21° and 90.00°. The asymmetric unit holds Cu at (0.000, 0.064, 0.000), Cu at (0.468, 0.238, 0.981), As at (0.492, 0.123, 0.520), S at (0.086, 0.228, 0.829), S at (0.110, 0.100, 0.349) and S at (0.124, 0.445, 0.432).

---

Crystalline CuSb2Os at its relaxed geometry. Source: Alexandria, functional PBE.

As for the formation energy from raw total energies: 422 meV/atom. As for the energy above the most stable polymorph in this dataset: 124 meV/atom.

The structure belongs to space group P4/mmm (No. 123); the cell edges are 3.205, 3.205 and 7.320 Å and the angles 90.00°, 90.00° and 90.00°. The asymmetric unit holds Cu at (0.000, 0.000, 0.000), Sb at (0.500, 0.500, 0.264) and Os at (0.000, 0.000, 0.500).

---

Crystalline Ba5Mg24 at its relaxed geometry. Source: Alexandria, functional PBE.

For the energy of formation, the calculation gives 6 meV/atom.

The structure belongs to space group I-43m (No. 217); the cell edges are 11.882, 11.882 and 11.882 Å and the angles 90.00°, 90.00° and 90.00°. The asymmetric unit holds Ba at (0.000, 0.000, 0.000), Ba at (0.187, 0.187, 0.187), Mg at (0.029, 0.361, 0.639) and Mg at (0.092, 0.092, 0.713).

---

Crystalline CeTm2MgHg4 at its relaxed geometry. Source: Alexandria, functional PBE.

For the energy of formation, the calculation gives -382 meV/atom.

The structure belongs to space group R-3m (No. 166, hexagonal axes); the cell edges are 5.0966, 5.0966 and 26.6341 Å and the angles 90.00°, 90.00° and 120.00°. The asymmetric unit holds Ce at (0.0000, 0.0000, 0.0000), Tm at (0.0000, 0.0000, 0.2435), Mg at (0.0000, 0.0000, 0.5000), Hg at (0.0000, 0.0000, 0.1267) and Hg at (0.0000, 0.0000, 0.3818).

---

Crystalline BiPd4Pb3 at its relaxed geometry. Source: Alexandria, functional PBE.

For the energy of formation, the calculation gives -108 meV/atom.

The structure belongs to space group Pmmn (No. 59, origin choice 2); the cell edges are 5.407, 6.899 and 10.029 Å and the angles 90.00°, 90.00° and 90.00°. The asymmetric unit holds Bi at (0.250, 0.250, 0.194), Pd at (0.250, 0.250, 0.919), Pd at (0.250, 0.519, 0.410), Pd at (0.250, 0.750, 0.902), Pb at (0.250, 0.008, 0.683) and Pb at (0.250, 0.750, 0.173).

---

Crystalline CsAl2As at its relaxed geometry. Source: Alexandria, functional PBE.

For the energy of formation, the calculation gives 218 meV/atom.

The structure belongs to space group I-42d (No. 122); the cell edges are 8.476, 8.476 and 7.137 Å and the angles 90.00°, 90.00° and 90.00°. The asymmetric unit holds Cs at (0.000, 0.000, 0.000), Al at (0.157, 0.250, 0.625) and As at (0.000, 0.000, 0.500).

---

Crystalline TbNpP2 at its relaxed geometry. Source: Alexandria, functional PBE.

For the energy of formation, the calculation gives -1066 meV/atom. As for the energy above the most stable polymorph in this dataset: 173 meV/atom.

The structure belongs to space group R3m (No. 160, hexagonal axes); the cell edges are 3.9565, 3.9565 and 20.3295 Å and the angles 90.00°, 90.00° and 120.00°. The asymmetric unit holds Tb at (0.0000, 0.0000, 0.0000), Np at (0.0000, 0.0000, 0.8277), P at (0.0000, 0.0000, 0.2436) and P at (0.0000, 0.0000, 0.4170).

---

Crystalline Zn2CrFe2 at its relaxed geometry. Source: Alexandria, functional PBE.

For the energy of formation, the calculation gives 386 meV/atom. As for the energy above the most stable polymorph in this dataset: 35 meV/atom.

The structure belongs to space group P4/mbm (No. 127); the cell edges are 6.968, 6.968 and 2.653 Å and the angles 90.00°, 90.00° and 90.00°. The asymmetric unit holds Zn at (0.127, 0.373, 0.000), Cr at (0.000, 0.000, 0.000) and Fe at (0.173, 0.673, 0.500).

---

DFT total energy (computed, eV for the cell shown): -59.54; -32.17; -104.58; -21.88; -95.43; -62.20; -73.28; -48.47; -97.96; -54.33
Spin magnetization (computed, μB per cell): 0.00; 0.00; 0.00; 0.00; 0.00; 3.71; 0.00; 0.00; 11.61; 10.51